CaTcRh PBE relaxed; excess energy over the best structure of this formula in the dataset = 4.33 eV/f.u.; formation enthalpy at 0 K = 1.342 eV/atom; SG = F-43m
1.0
-0.452 4.470 0.249
-3.130 1.799 2.686
1.228 2.181 3.739
Ca Rh Tc
1 1 1
Direct
0.250 0.250 0.250
0.000 0.000 0.000
0.500 0.500 0.500